(1)
Computed, not measured: a geometry-optimized YAuS2 structure at the PBE level of DFT.

Results
Total magnetization ... 0.0 μB per formula unit
Electronic total energy ... -22.33 eV per cell
Energy relative to the elements, uncorrected ... -4.33 eV/f.u.

The structure in POSCAR format:
```
YAuS2
1.0
0.662 2.768 -3.440
-2.671 1.218 3.364
4.368 2.252 2.653
Y S Au
1 2 1
direct
0.333 0.667 0.335
0.333 0.667 0.852
0.667 0.333 0.389
0.000 0.000 0.880
```

(2)
Computed, not measured: a geometry-optimized Y2AuS structure at the PBE level of DFT.

Results
Total magnetization ... 0.0 μB per formula unit
Electronic total energy ... -52.08 eV per cell
Energy relative to the elements, uncorrected ... -5.71 eV/f.u.

The structure in POSCAR format:
```
Y2AuS
1.0
4.123 0.000 0.000
0.000 3.889 -0.691
0.000 0.042 11.528
Y Au S
4 2 2
direct
0.750 0.687 0.373
0.250 0.313 0.627
0.750 0.928 0.856
0.250 0.072 0.144
0.250 0.454 0.908
0.750 0.546 0.092
0.250 0.193 0.386
0.750 0.807 0.614
```

(3)
Computed, not measured: a geometry-optimized Y6Au2S structure at the PBE level of DFT.

Results
Total magnetization ... 0.0 μB per formula unit
Electronic total energy ... -114.27 eV per cell
Energy relative to the elements, uncorrected ... -7.67 eV/f.u.

The structure in POSCAR format:
```
Y6Au2S
1.0
-2.535 -6.093 -0.295
5.458 -2.058 -4.397
5.378 -3.049 8.102
Y Au S
12 4 2
direct
0.144 0.029 0.246
0.173 0.326 0.565
0.167 0.307 0.938
0.333 0.807 0.562
0.327 0.826 0.935
0.356 0.529 0.254
0.856 0.971 0.754
0.827 0.674 0.435
0.833 0.693 0.062
0.667 0.193 0.438
0.673 0.174 0.065
0.644 0.471 0.746
0.062 0.610 0.760
0.438 0.110 0.740
0.562 0.890 0.260
0.938 0.390 0.240
0.500 0.500 0.000
0.000 0.000 0.500
```

(4)
Computed, not measured: a geometry-optimized YAuS2 structure at the PBE level of DFT.

Results
Total magnetization ... 0.0 μB per formula unit
Electronic total energy ... -44.29 eV per cell
Energy relative to the elements, uncorrected ... -4.15 eV/f.u.

The structure in POSCAR format:
```
YAuS2
1.0
-0.925 -4.105 3.688
-3.051 -2.735 -3.810
3.486 -6.564 -2.187
Y S Au
2 4 2
direct
0.500 0.500 0.000
0.250 0.750 0.500
0.637 0.125 0.250
0.113 0.625 0.250
0.375 0.363 0.750
0.875 0.887 0.750
0.000 0.000 0.000
0.750 0.250 0.500
```

(5)
Computed, not measured: a geometry-optimized Y2Au2S structure at the PBE level of DFT.

Results
Total magnetization ... 0.0 μB per formula unit
Electronic total energy ... -57.57 eV per cell
Energy relative to the elements, uncorrected ... -5.18 eV/f.u.

The structure in POSCAR format:
```
Y2Au2S
1.0
7.551 0.000 0.000
0.000 7.551 0.000
0.000 0.000 4.241
Y S Au
4 2 4
direct
0.323 0.823 0.000
0.823 0.677 0.000
0.677 0.177 0.000
0.177 0.323 0.000
0.000 0.000 0.000
0.500 0.500 0.000
0.129 0.629 0.500
0.629 0.871 0.500
0.871 0.371 0.500
0.371 0.129 0.500
```

(6)
Computed, not measured: a geometry-optimized Y4AuS3 structure at the PBE level of DFT.

Results
Total magnetization ... 0.0 μB per formula unit
Electronic total energy ... -54.91 eV per cell
Energy relative to the elements, uncorrected ... -13.39 eV/f.u.

The structure in POSCAR format:
```
Y4AuS3
1.0
3.922 0.000 0.000
0.000 6.611 -2.224
0.000 -0.027 6.976
Y S Au
4 3 1
direct
0.000 0.259 0.259
0.500 0.745 0.255
0.000 0.741 0.741
0.500 0.255 0.745
0.000 0.000 0.500
0.500 0.500 0.500
0.000 0.500 0.000
0.500 0.000 0.000
```

(7)
Computed, not measured: a geometry-optimized YAuS2 structure at the PBE level of DFT.

Results
Total magnetization ... 0.0 μB per formula unit
Electronic total energy ... -45.36 eV per cell
Energy relative to the elements, uncorrected ... -4.69 eV/f.u.

The structure in POSCAR format:
```
YAuS2
1.0
-2.977 3.663 5.576
-5.194 -1.824 1.175
1.854 -5.077 1.575
Y S Au
2 4 2
direct
0.750 0.395 0.895
0.250 0.605 0.105
0.194 0.159 0.050
0.306 0.550 0.659
0.806 0.841 0.950
0.694 0.450 0.341
0.750 0.030 0.530
0.250 0.970 0.470
```

(8)
Computed, not measured: a geometry-optimized YAuS2 structure at the PBE level of DFT.

Results
Total magnetization ... 0.0 μB per formula unit
Electronic total energy ... -22.73 eV per cell
Energy relative to the elements, uncorrected ... -4.73 eV/f.u.

The structure in POSCAR format:
```
YAuS2
1.0
1.522 1.965 3.265
-4.054 -0.097 -0.630
-0.402 -5.356 3.410
Y S Au
1 2 1
direct
0.000 0.000 0.007
0.333 0.667 0.793
0.667 0.333 0.247
0.333 0.667 0.407
```

- The lowest electronic total energy belongs to which entry?
  Y6Au2S